The following is a PBE-GGA calculation of a relaxed structure of AuCBr3, from Alexandria via LeMat-Bulk.

Calculated values
Energy above the most stable polymorph in this dataset ... 0.0 kJ/mol of atoms
Formation energy without anion corrections ... 1.24 eV per atom
Space group ... Pm-3m, No. 221

Lattice parameters (Å, degrees): 4.7629 4.7629 4.7629 90.00 90.00 90.00
Last column: nearest neighbours and their distance in Å.
Atoms (fractional coordinates):
Au 0.5000 0.5000 0.5000  12 Br 3.37
C 0.0000 0.0000 0.0000  6 Br 2.38
Br 0.0000 0.5000 0.0000  2 C 2.38
Br 0.0000 0.0000 0.5000  2 C 2.38
Br 0.5000 0.0000 0.0000  2 C 2.38